NdSmGaGe | GGA-PBE | relaxed

- DOS(E_F) (states/eV per cell) = 2.27
- energy above the most stable polymorph in this dataset (eV per formula unit) = 0.783
- ΔE_f (eV per atom) = -0.5711
- total energy (eV/atom) = -4.85

abc: 5.193 5.193 5.193
angles: 60.00 60.00 60.00
Element x y z (fractional)
Nd1 0.500 0.500 0.500
Sm1 0.000 0.000 0.000
Ga1 0.750 0.750 0.750
Ge1 0.250 0.250 0.250

***

Nd2GaSnGe | GGA-PBE | relaxed

- DOS(E_F) (states/eV per cell) = 8.12
- ΔE_f (eV per atom) = -0.6862
- total energy (eV/atom) = -4.92

abc: 4.376 6.406 9.041
angles: 90.08 90.00 90.00
Element x y z (fractional)
Ge1 0.250 0.943 0.750
Sn1 0.750 0.267 0.750
Nd1 0.750 0.755 0.968
Ga1 0.250 0.549 0.750
Sn2 0.250 0.733 0.250
Nd2 0.250 0.244 0.467
Nd3 0.750 0.756 0.533
Ga2 0.750 0.451 0.250
Nd4 0.250 0.245 0.032
Ge2 0.750 0.057 0.250

***

SrNdGaGe | GGA-PBE | relaxed

- DOS(E_F) (states/eV per cell) = 2.13
- ΔE_f (eV per atom) = -0.6120
- total energy (eV/atom) = -4.14

abc: 4.602 4.197 6.201
angles: 90.00 111.78 90.00
Element x y z (fractional)
Sr1 0.143 0.000 0.286
Ge1 0.424 0.000 0.849
Ga1 0.567 0.500 0.134
Nd1 0.866 0.500 0.732

***

TbNdGaGe | GGA-PBE | relaxed

- DOS(E_F) (states/eV per cell) = 2.24
- energy above the most stable polymorph in this dataset (eV per formula unit) = 0.798
- ΔE_f (eV per atom) = -0.5708
- total energy (eV/atom) = -4.83

abc: 5.153 5.153 5.153
angles: 60.00 60.00 60.00
Element x y z (fractional)
Nd1 0.500 0.500 0.500
Ge1 0.250 0.250 0.250
Ga1 0.750 0.750 0.750
Tb1 0.000 0.000 0.000

***

TbNdGaGe | GGA-PBE | relaxed

- DOS(E_F) (states/eV per cell) = 3.41
- energy above the most stable polymorph in this dataset (eV per formula unit) = 0.000
- ΔE_f (eV per atom) = -0.7703
- total energy (eV/atom) = -5.03

abc: 4.408 4.065 5.957
angles: 90.00 111.71 90.00
Element x y z (fractional)
Ga1 0.575 0.500 0.150
Tb1 0.862 0.500 0.723
Ge1 0.422 0.000 0.844
Nd1 0.141 0.000 0.283

***

Nd4GaGeTe2 | GGA-PBE | relaxed

- DOS(E_F) (states/eV per cell) = 5.90
- uncorrected formation energy (eV/atom) = -1.080
- total energy (eV/atom) = -5.20

abc: 4.348 7.492 7.884
angles: 108.60 90.00 90.00
Element x y z (fractional)
Nd1 0.500 0.239 0.229
Te1 0.500 0.000 0.500
Ga1 0.500 0.500 0.000
Nd2 0.000 0.252 0.764
Ge1 0.000 0.000 0.000
Te2 0.000 0.500 0.500
Nd3 0.000 0.748 0.236
Nd4 0.500 0.761 0.771

***

Nd8GaGe3Te4 | GGA-PBE | relaxed

- DOS(E_F) (states/eV per cell) = 7.69
- uncorrected formation energy (eV/atom) = -1.146
- total energy (eV/atom) = -5.37

abc: 8.736 8.935 8.736
angles: 119.27 120.00 90.00
Element x y z (fractional)
Nd1 0.740 0.730 0.985
Nd2 0.755 0.270 0.510
Nd3 0.245 0.730 0.985
Te1 0.500 0.000 0.000
Ge1 0.500 0.500 0.000
Te2 0.000 0.000 0.500
Nd4 0.741 0.723 0.482
Nd5 0.259 0.277 0.518
Ga1 0.000 0.500 0.000
Te3 0.000 0.000 0.000
Nd6 0.260 0.270 0.015
Nd7 0.755 0.270 0.015
Ge2 0.000 0.500 0.500
Ge3 0.500 0.500 0.500
Nd8 0.245 0.730 0.490
Te4 0.500 0.000 0.500

***

NdThGaGe | GGA-PBE | relaxed

- DOS(E_F) (states/eV per cell) = 3.99
- ΔE_f (eV per atom) = -0.6884
- total energy (eV/atom) = -5.65

abc: 4.451 4.123 6.051
angles: 90.00 111.58 90.00
Element x y z (fractional)
Th1 0.859 0.500 0.719
Ga1 0.579 0.500 0.157
Ge1 0.422 0.000 0.843
Nd1 0.140 0.000 0.281

***

Nd2TlGaGe | GGA-PBE | relaxed

- DOS(E_F) (states/eV per cell) = 8.53
- ΔE_f (eV per atom) = -0.5259
- total energy (eV/atom) = -4.44

abc: 4.401 6.373 9.197
angles: 90.02 90.00 90.00
Element x y z (fractional)
Ga1 0.250 0.548 0.750
Nd1 0.250 0.244 0.465
Nd2 0.750 0.756 0.965
Ge1 0.250 0.940 0.750
Nd3 0.750 0.756 0.535
Tl1 0.750 0.259 0.750
Nd4 0.250 0.244 0.035
Ge2 0.750 0.060 0.250
Ga2 0.750 0.452 0.250
Tl2 0.250 0.741 0.250

***

GaNiGe3 | GGA-PBE | relaxed

- DOS(E_F) (states/eV per cell) = 4.40
- energy above the most stable polymorph in this dataset (eV per formula unit) = 0.000
- ΔE_f (eV per atom) = 0.2356
- total energy (eV/atom) = -4.30

abc: 4.638 4.638 4.638
angles: 90.00 90.00 90.00
Element x y z (fractional)
Ge1 0.500 0.000 0.000
Ni1 0.000 0.000 0.000
Ge2 0.000 0.000 0.500
Ga1 0.500 0.500 0.500
Ge3 0.000 0.500 0.000

***

Ga2Ni8Ge3 | GGA-PBE | relaxed

- DOS(E_F) (states/eV per cell) = 8.55
- ΔE_f (eV per atom) = -0.0566
- total energy (eV/atom) = -5.15

abc: 4.831 4.831 9.051
angles: 74.52 74.52 60.00
Element x y z (fractional)
Ni1 0.281 0.281 0.657
Ni2 0.720 0.720 0.841
Ge1 0.000 0.000 0.000
Ge2 0.192 0.192 0.425
Ni3 0.780 0.281 0.657
Ni4 0.719 0.719 0.343
Ni5 0.220 0.719 0.343
Ga1 0.629 0.629 0.113
Ga2 0.371 0.371 0.887
Ge3 0.808 0.808 0.575
Ni6 0.280 0.280 0.159
Ni7 0.719 0.220 0.343
Ni8 0.281 0.780 0.657

***

GaNi14Ge | GGA-PBE | relaxed

- DOS(E_F) (states/eV per cell) = 26.60
- ΔE_f (eV per atom) = -0.1187
- total energy (eV/atom) = -5.66

abc: 5.043 5.043 7.020
angles: 90.00 90.00 90.00
Element x y z (fractional)
Ni1 0.875 0.875 0.000
Ni2 0.626 0.124 0.754
Ni3 0.875 0.375 0.000
Ni4 0.124 0.124 0.246
Ni5 0.626 0.626 0.754
Ni6 0.375 0.875 0.500
Ni7 0.375 0.875 0.000
Ni8 0.626 0.626 0.246
Ga1 0.375 0.375 0.500
Ni9 0.124 0.626 0.246
Ni10 0.875 0.375 0.500
Ni11 0.375 0.375 0.000
Ni12 0.124 0.626 0.754
Ni13 0.626 0.124 0.246
Ni14 0.124 0.124 0.754
Ge1 0.875 0.875 0.500